HfVGa2O after structural relaxation, computed with PBE with a Hubbard U.

a = 4.359 Å, b = 4.359 Å, c = 4.131 Å
α = 90.00°, β = 90.00°, γ = 90.00°
Space group P4/mmm (No. 123)
One atom of each set of equivalent atoms:
Hf 0.000 0.000 0.000
V 0.500 0.500 0.000
Ga 0.000 0.500 0.500
O 0.000 0.000 0.500

Output
total energy: -5.9203 eV/atom
Fermi-level density of states: 2.42 states/eV per cell

***

HfVGaO6 after structural relaxation, computed with PBE with a Hubbard U.

a = 4.690 Å, b = 4.690 Å, c = 9.071 Å
α = 90.00°, β = 90.00°, γ = 90.00°
Space group P4_2nm (No. 102)
One atom of each set of equivalent atoms:
Hf 0.000 0.000 0.000
V 0.000 0.000 0.667
Ga 0.000 0.000 0.331
O 0.186 0.186 0.501
O 0.193 0.193 0.814
O 0.208 0.208 0.167

Output
total energy: -7.8905 eV/atom

***

- What is the formula in the first record?
  HfVGa2O